# 1
Compound: NbAsBr2
Source: Alexandria via LeMat-Bulk
Functional: GGA-PBE
Structure: optimized geometry

Results
- Energy relative to the lowest polymorph listed for this composition: 1.12 kcal/mol of atoms

CIF file:
```
data_NbAsBr2
_space_group_name_H-M_alt 'R -3 m'
_space_group_IT_number 166
_space_group_name_Hall '-R 3 2"'
_cell_length_a 3.2291
_cell_length_b 3.2291
_cell_length_c 34.6259
_cell_angle_alpha 90.00
_cell_angle_beta 90.00
_cell_angle_gamma 120.00
loop_
_atom_site_label
_atom_site_type_symbol
_atom_site_fract_x
_atom_site_fract_y
_atom_site_fract_z
Nb1 Nb 0.0000 0.0000 0.0000
As1 As 0.0000 0.0000 0.5000
Br1 Br 0.0000 0.0000 0.3888
```

***

# 2
Compound: NbNi2AsBr
Source: Alexandria via LeMat-Bulk
Functional: GGA-PBE
Structure: optimized geometry

CIF file:
```
data_NbNi2AsBr
_space_group_name_H-M_alt 'P 4/m m m'
_space_group_IT_number 123
_space_group_name_Hall '-P 4 2'
_cell_length_a 4.3247
_cell_length_b 4.3247
_cell_length_c 5.4573
_cell_angle_alpha 90.00
_cell_angle_beta 90.00
_cell_angle_gamma 90.00
loop_
_atom_site_label
_atom_site_type_symbol
_atom_site_fract_x
_atom_site_fract_y
_atom_site_fract_z
Nb1 Nb 0.0000 0.0000 0.0000
Ni1 Ni 0.0000 0.5000 0.5000
As1 As 0.5000 0.5000 0.5000
Br1 Br 0.5000 0.5000 0.0000
```

***

# 3
Compound: NbAsBr2O
Source: Alexandria via LeMat-Bulk
Functional: GGA-PBE
Structure: optimized geometry

Results
- Energy relative to the lowest polymorph listed for this composition: 5.44 kcal/mol of atoms

CIF file:
```
data_NbAsBr2O
_space_group_name_H-M_alt 'P 4/m m m'
_space_group_IT_number 123
_space_group_name_Hall '-P 4 2'
_cell_length_a 4.6389
_cell_length_b 4.6389
_cell_length_c 4.3054
_cell_angle_alpha 90.00
_cell_angle_beta 90.00
_cell_angle_gamma 90.00
loop_
_atom_site_label
_atom_site_type_symbol
_atom_site_fract_x
_atom_site_fract_y
_atom_site_fract_z
Nb1 Nb 0.0000 0.0000 0.0000
As1 As 0.5000 0.5000 0.0000
Br1 Br 0.0000 0.5000 0.5000
O1 O 0.5000 0.5000 0.5000
```

***

# 4
Compound: NbAsBr2O
Source: Alexandria via LeMat-Bulk
Functional: GGA-PBE
Structure: optimized geometry

Results
- Energy relative to the lowest polymorph listed for this composition: 0.00 kcal/mol of atoms

CIF file:
```
data_NbAsBr2O
_space_group_name_H-M_alt 'P 4/m m m'
_space_group_IT_number 123
_space_group_name_Hall '-P 4 2'
_cell_length_a 5.0081
_cell_length_b 5.0081
_cell_length_c 5.1500
_cell_angle_alpha 90.00
_cell_angle_beta 90.00
_cell_angle_gamma 90.00
loop_
_atom_site_label
_atom_site_type_symbol
_atom_site_fract_x
_atom_site_fract_y
_atom_site_fract_z
Nb1 Nb 0.0000 0.0000 0.0000
As1 As 0.0000 0.0000 0.5000
Br1 Br 0.0000 0.5000 0.0000
O1 O 0.5000 0.5000 0.5000
```

***

no.,E_form (uncorrected) (eV per atom),D(E_F) (states/eV/cell),spin magnetization (μB/cell)
1,-0.07,9.69,0.00
2,0.86,4.91,2.75
3,0.75,7.06,0.00
4,0.51,12.27,0.00